The following is a DFT calculation (PBE) of an optimized crystal structure of PtWAu2.

The space group is No. 216. As for the excess energy over the best structure of this formula in the dataset: 0 meV per atom. The calculation puts the total energy at -6.06 eV per atom. The calculation puts the density at 19.20 g/cm3. Its crystal system is cubic.

POSCAR file:
```
PtWAu2
1.0
0.000 3.221 3.221
3.221 0.000 3.221
3.221 3.221 0.000
Au W Pt
2 1 1
Cartesian
4.831 4.831 4.831 Au
3.221 3.221 3.221 Au
0.000 0.000 0.000 W
1.610 1.610 1.610 Pt
```